Here is a PBEsol-optimized structure of CrNi3 from Alexandria via LeMat-Bulk. Energies are from SCAN.

Unit cell a=2.4356 b=4.2684 c=4.2532 alpha=99.15 beta=106.64 gamma=89.99
Last column: nearest neighbours and their distance in Å.
Positions (direct):
1 Ni 0.2494 0.7523 0.4986  9 Ni 2.44-2.48, 3 Cr 2.44-2.46
2 Ni 0.7507 0.2477 0.5014  9 Ni 2.44-2.48, 3 Cr 2.44-2.46
3 Cr 0.0000 0.0000 0.0000  2 Cr 2.44, 10 Ni 2.44-2.46
4 Ni 0.5000 0.5000 0.0000  8 Ni 2.44-2.46, 4 Cr 2.46

Output
SG = C2/m, No. 12

=====

Here is a PBEsol-optimized structure of MoAuSe2 from Alexandria via LeMat-Bulk. Energies are from SCAN.

Unit cell a=2.9430 b=4.8035 c=6.4083 alpha=112.01 beta=103.28 gamma=90.00
Last column: nearest neighbours and their distance in Å.
Positions (direct):
1 Se 0.3262 0.3262 0.6524  2 Mo 2.48
2 Se 0.6738 0.6738 0.3476  2 Mo 2.48
3 Au 0.5000 0.0000 0.0000  4 Mo 2.82, 2 Au 2.94, 4 Se 3.13
4 Mo 0.0000 0.5000 0.0000  4 Se 2.48

Output
uncorrected formation energy = 0.31 eV/f.u.
SG = Immm, No. 71
excess energy over the best structure of this formula in the dataset = 0 meV/atom

=====

Here is a PBEsol-optimized structure of AlNi3Br from Alexandria via LeMat-Bulk. Energies are from SCAN.

Unit cell a=4.3208 b=4.3208 c=4.3208 alpha=90.00 beta=90.00 gamma=90.00
Last column: nearest neighbours and their distance in Å.
Positions (direct):
1 Ni 0.0000 0.5000 0.0000  2 Br 2.16
2 Ni 0.0000 0.0000 0.5000  2 Br 2.16
3 Al 0.5000 0.5000 0.5000  12 Ni 3.06
4 Ni 0.5000 0.0000 0.0000  2 Br 2.16
5 Br 0.0000 0.0000 0.0000  6 Ni 2.16

Output
uncorrected formation energy = 4.68 eV/f.u.
SG = Pm-3m, No. 221

=====

Here is a PBEsol-optimized structure of SiWSe from Alexandria via LeMat-Bulk. Energies are from SCAN.

Unit cell a=4.2036 b=4.2036 c=4.2036 alpha=60.00 beta=60.00 gamma=60.00
Last column: nearest neighbours and their distance in Å.
Positions (direct):
1 Se 0.5000 0.5000 0.5000  4 Si 2.57
2 Si 0.2500 0.2500 0.2500  4 W 2.57, 4 Se 2.57
3 W 0.0000 0.0000 0.0000  4 Si 2.57

Output
uncorrected formation energy = 2.99 eV/f.u.
SG = F-43m, No. 216

=====

Here is a PBEsol-optimized structure of Os2Ru from Alexandria via LeMat-Bulk. Energies are from SCAN.

Unit cell a=2.6546 b=4.3325 c=4.3325 alpha=90.00 beta=90.00 gamma=90.00
Last column: nearest neighbours and their distance in Å.
Positions (direct):
1 Os 0.5000 0.5000 0.0000  4 Ru 2.54, 2 Os 2.65
2 Os 0.5000 0.0000 0.5000  4 Ru 2.54, 2 Os 2.65
3 Ru 0.0000 0.0000 0.0000  8 Os 2.54, 2 Ru 2.65

Output
SG = P4/mmm, No. 123
excess energy over the best structure of this formula in the dataset = 1305 meV/atom

=====

Here is a PBEsol-optimized structure of ZnF2 from Alexandria via LeMat-Bulk. Energies are from SCAN.

Unit cell a=4.6723 b=5.1660 c=5.6746 alpha=90.00 beta=90.00 gamma=90.00
Last column: nearest neighbours and their distance in Å.
Positions (direct):
1 F 0.2683 0.9188 0.6118  3 Zn 2.00-2.08
2 F 0.2317 0.4188 0.8882  3 Zn 2.00-2.08
3 Zn 0.5000 0.2500 0.6611  6 F 2.00-2.08
4 Zn 0.0000 0.7500 0.8389  6 F 2.00-2.08
5 F 0.7683 0.5812 0.1118  3 Zn 2.00-2.08
6 F 0.7317 0.5812 0.6118  3 Zn 2.00-2.08
7 F 0.2683 0.4188 0.3882  3 Zn 2.00-2.08
8 F 0.7683 0.0812 0.8882  3 Zn 2.00-2.08
9 Zn 0.5000 0.7500 0.3389  6 F 2.00-2.08
10 F 0.7317 0.0812 0.3882  3 Zn 2.00-2.08
11 Zn 0.0000 0.2500 0.1611  6 F 2.00-2.08
12 F 0.2317 0.9188 0.1118  3 Zn 2.00-2.08

Output
uncorrected formation energy = -7.49 eV/f.u.
SG = Pbcn, No. 60

=====

Here is a PBEsol-optimized structure of Li3Zn from Alexandria via LeMat-Bulk. Energies are from SCAN.

Unit cell a=2.8461 b=2.8461 c=9.6000 alpha=81.48 beta=81.48 gamma=60.00
Last column: nearest neighbours and their distance in Å.
Positions (direct):
1 Zn 0.0000 0.0000 0.0000  6 Li 2.74, 6 Zn 2.85
2 Li 0.5000 0.5000 0.5000  12 Li 2.85-3.02
3 Li 0.7439 0.7439 0.7683  3 Zn 2.74, 9 Li 2.85-3.02
4 Li 0.2561 0.2561 0.2317  3 Zn 2.74, 9 Li 2.85-3.02

Output
SG = R-3m, No. 166

=====

Here is a PBEsol-optimized structure of DyFeC2 from Alexandria via LeMat-Bulk. Energies are from SCAN.

Unit cell a=3.6792 b=3.6792 c=3.5808 alpha=90.00 beta=90.00 gamma=104.69
Last column: nearest neighbours and their distance in Å.
Positions (direct):
1 C 0.4551 0.8584 0.5000  1 C 1.41
2 Dy 0.0054 0.9946 0.0000  8 C 2.57-2.65
3 C 0.1416 0.5449 0.5000  1 C 1.41
4 Fe 0.6130 0.3870 0.5000  4 C 1.88-1.96

Output
SG = Amm2, No. 38

=====

Here is a PBEsol-optimized structure of BaLiCu from Alexandria via LeMat-Bulk. Energies are from SCAN.

Unit cell a=4.5289 b=4.5616 c=4.5616 alpha=120.01 beta=90.00 gamma=90.00
Last column: nearest neighbours and their distance in Å.
Positions (direct):
1 Cu 0.0000 0.6667 0.3333  3 Li 2.63
2 Li 0.0000 0.3333 0.6667  3 Cu 2.63
3 Ba 0.5000 0.0000 0.0000  6 Cu 3.47, 6 Li 3.47

Output
SG = P-6m2, No. 187

=====

Here is a PBEsol-optimized structure of Ba6Br2N3Cl from Alexandria via LeMat-Bulk. Energies are from SCAN.

Unit cell a=4.1006 b=4.1006 c=23.2679 alpha=90.00 beta=90.00 gamma=120.00
Last column: nearest neighbours and their distance in Å.
Positions (direct):
1 N 0.6667 0.3333 0.8382  6 Ba 2.79
2 Ba 0.3333 0.6667 0.4368  3 N 2.79
3 N 0.3333 0.6667 0.1618  6 Ba 2.79
4 Ba 0.0000 0.0000 0.7750  3 N 2.79
5 Cl 0.0000 0.0000 0.0000  6 Ba 3.30
6 N 0.0000 0.0000 0.5000  6 Ba 2.79
7 Ba 0.3333 0.6667 0.9014  3 N 2.79
8 Ba 0.6667 0.3333 0.5632  3 N 2.79
9 Br 0.3333 0.6667 0.6690  6 Ba 3.42
10 Ba 0.6667 0.3333 0.0986  3 N 2.79
11 Ba 0.0000 0.0000 0.2250  3 N 2.79
12 Br 0.6667 0.3333 0.3310  6 Ba 3.42

Output
uncorrected formation energy = -17.33 eV/f.u.
SG = P-3m1, No. 164
excess energy over the best structure of this formula in the dataset = 0 meV/atom

=====

Here is a PBEsol-optimized structure of LaY2Sb2 from Alexandria via LeMat-Bulk. Energies are from SCAN.

Unit cell a=4.0342 b=8.3510 c=8.3510 alpha=90.00 beta=90.00 gamma=90.00
Last column: nearest neighbours and their distance in Å.
Positions (direct):
1 Y 0.5000 0.1555 0.6555  6 Sb 3.12-3.20
2 Y 0.5000 0.3445 0.1555  6 Sb 3.12-3.20
3 Sb 0.0000 0.1425 0.3575  6 Y 3.12-3.20, 2 La 3.21, 1 Sb 3.37
4 Sb 0.0000 0.3575 0.8575  6 Y 3.12-3.20, 2 La 3.21, 1 Sb 3.37
5 Y 0.5000 0.8445 0.3445  6 Sb 3.12-3.20
6 Y 0.5000 0.6555 0.8445  6 Sb 3.12-3.20
7 La 0.0000 0.5000 0.5000  4 Sb 3.21
8 Sb 0.0000 0.8575 0.6425  6 Y 3.12-3.20, 2 La 3.21, 1 Sb 3.37
9 Sb 0.0000 0.6425 0.1425  6 Y 3.12-3.20, 2 La 3.21, 1 Sb 3.37
10 La 0.0000 0.0000 0.0000  4 Sb 3.21

Output
uncorrected formation energy = -5.31 eV/f.u.
SG = P4/mbm, No. 127

=====

Here is a PBEsol-optimized structure of CeP5O14 from Alexandria via LeMat-Bulk. Energies are from SCAN.

Unit cell a=8.8277 b=9.0993 c=13.1040 alpha=90.00 beta=90.52 gamma=90.00
Last column: nearest neighbours and their distance in Å.
Positions (direct):
1 O 0.7317 0.4050 0.1156  1 P 1.47
2 O 0.2796 0.9092 0.6092  1 P 1.47
3 O 0.2683 0.5950 0.8844  1 P 1.47
4 O 0.5904 0.5826 0.2359  2 P 1.57-1.63
5 O 0.2772 0.3079 0.0995  2 P 1.57-1.63
6 O 0.0857 0.8824 0.8496  1 P 1.48
7 O 0.9086 0.5724 0.7921  2 P 1.57-1.62
8 P 0.2547 0.4518 0.1642  4 O 1.47-1.57
9 O 0.9143 0.1176 0.1504  1 P 1.48
10 O 0.1274 0.4023 0.7737  2 P 1.58-1.62
11 O 0.2111 0.0846 0.9987  1 P 1.48
12 P 0.9922 0.5057 0.2958  4 O 1.48-1.62
13 P 0.2547 0.0482 0.6642  4 O 1.47-1.57
14 O 0.2111 0.4154 0.4987  1 P 1.48
15 P 0.7453 0.5482 0.8358  4 O 1.47-1.57
16 O 0.0878 0.8852 0.1508  1 P 1.48
17 O 0.0857 0.6176 0.3496  1 P 1.48
18 O 0.9683 0.6872 0.0056  1 P 1.49
19 O 0.7204 0.0908 0.3908  1 P 1.47
20 O 0.7228 0.6921 0.9005  2 P 1.57-1.63
21 O 0.9086 0.9276 0.2921  2 P 1.57-1.62
22 O 0.9122 0.1148 0.8492  1 P 1.48
23 O 0.7067 0.6851 0.0884  2 P 1.57-1.63
24 O 0.7228 0.8079 0.4005  2 P 1.57-1.63
25 O 0.5840 0.1153 0.8749  1 P 1.48
26 P 0.7453 0.9518 0.3358  4 O 1.47-1.57
27 O 0.9683 0.8128 0.5056  1 P 1.49
28 P 0.2730 0.4486 0.8368  4 O 1.47-1.58
29 O 0.7067 0.8149 0.5884  2 P 1.57-1.63
30 O 0.8726 0.9023 0.7263  2 P 1.58-1.62
31 P 0.4937 0.5023 0.3250  4 O 1.48-1.63
32 O 0.7889 0.5846 0.5013  1 P 1.48
33 O 0.0914 0.0724 0.7079  2 P 1.57-1.62
34 O 0.2683 0.9050 0.3844  1 P 1.47
35 O 0.9122 0.3852 0.3492  1 P 1.48
36 O 0.4096 0.4174 0.7641  2 P 1.57-1.63
37 P 0.2730 0.0514 0.3368  4 O 1.47-1.58
38 O 0.4216 0.8781 0.8844  1 P 1.48
39 P 0.8146 0.7543 0.0002  4 O 1.48-1.63
40 O 0.3661 0.0808 0.7554  2 P 1.57-1.63
41 O 0.0878 0.6148 0.6508  1 P 1.48
42 P 0.1854 0.2543 0.4998  4 O 1.48-1.63
43 P 0.0078 0.4943 0.7042  4 O 1.48-1.62
44 O 0.4160 0.8847 0.1251  1 P 1.48
45 Ce 0.2233 0.6897 0.5013  8 O 2.40-2.52
46 O 0.2933 0.1851 0.4116  2 P 1.57-1.63
47 O 0.5784 0.1219 0.1156  1 P 1.48
48 O 0.5840 0.3847 0.3749  1 P 1.48
49 O 0.2772 0.1921 0.5995  2 P 1.57-1.63
50 P 0.9922 0.9943 0.7958  4 O 1.48-1.62
51 O 0.7317 0.0950 0.6156  1 P 1.47
52 P 0.7270 0.5514 0.1632  4 O 1.47-1.58
53 O 0.7204 0.4092 0.8908  1 P 1.47
54 O 0.4216 0.6219 0.3844  1 P 1.48
55 O 0.4160 0.6153 0.6251  1 P 1.48
56 O 0.7889 0.9154 0.0013  1 P 1.48
57 Ce 0.7767 0.1897 0.9987  8 O 2.40-2.52
58 O 0.0317 0.1872 0.4944  1 P 1.49
59 P 0.5063 0.0023 0.1750  4 O 1.48-1.63
60 P 0.1854 0.2457 0.9998  4 O 1.48-1.63
61 P 0.7270 0.9486 0.6632  4 O 1.47-1.58
62 P 0.0078 0.0057 0.2042  4 O 1.48-1.62
63 O 0.6339 0.9192 0.2446  2 P 1.57-1.63
64 O 0.2933 0.3149 0.9116  2 P 1.57-1.63
65 O 0.0317 0.3128 0.9944  1 P 1.49
66 O 0.6339 0.5808 0.7446  2 P 1.57-1.63
67 P 0.4937 0.9977 0.8250  4 O 1.48-1.63
68 O 0.1274 0.0977 0.2737  2 P 1.58-1.62
69 O 0.3661 0.4192 0.2554  2 P 1.57-1.63
70 Ce 0.2233 0.8103 0.0013  8 O 2.40-2.52
71 O 0.5904 0.9174 0.7359  2 P 1.57-1.63
72 O 0.9143 0.3824 0.6504  1 P 1.48
73 P 0.8146 0.7457 0.5002  4 O 1.48-1.63
74 Ce 0.7767 0.3103 0.4987  8 O 2.40-2.52
75 O 0.2796 0.5908 0.1092  1 P 1.47
76 O 0.8726 0.5977 0.2263  2 P 1.58-1.62
77 O 0.4096 0.0826 0.2641  2 P 1.57-1.63
78 O 0.5784 0.3781 0.6156  1 P 1.48
79 P 0.5063 0.4977 0.6750  4 O 1.48-1.63
80 O 0.0914 0.4276 0.2079  2 P 1.57-1.62

Output
uncorrected formation energy = -51.85 eV/f.u.
SG = P2_1/c, No. 14

=====

| no. | VASP energy (eV per cell) |
| --- | --- |
| 1 | -66.5 |
| 2 | -143.9 |
| 3 | -71.0 |
| 4 | -96.8 |
| 5 | -174.7 |
| 6 | -112.4 |
| 7 | -20.8 |
| 8 | -87.3 |
| 9 | -56.9 |
| 10 | -329.4 |
| 11 | -357.2 |
| 12 | -942.6 |